# HgP2Rh

A crystal of HgP2Rh relaxed with PBEsol (SCAN, Alexandria via LeMat-Bulk). Values from VASP.

Summary:
Energy of formation from the pure elements, eV per atom: 0.596
SG: I-4m2
Total magnetic moment, μB per atom: 0.00

Geometry as Quantum ESPRESSO input:
```
&SYSTEM
  ibrav = 0, nat = 4, ntyp = 3
/
ATOMIC_SPECIES
Hg 200.59 Hg.upf
P 30.97 P.upf
Rh 102.91 Rh.upf
CELL_PARAMETERS angstrom
-2.934 1.771 1.861
-2.568 -1.956 -2.188
2.688 -2.929 2.939
ATOMIC_POSITIONS angstrom
Hg -1.316 -2.489 0.294
P 0.000 0.000 0.000
P -1.498 -0.626 2.318
Rh -2.751 -0.093 -0.163
```